[1]
Material: PrYZnCu
Method: DFT, GGA-PBE
State: relaxed

Results
- D(E_F) (states/eV/cell) = 2.7
- energy relative to the lowest polymorph listed for this composition (meV/atom) = 9
- space-group type = F-43m, No. 216
- energy of formation (eV per formula unit) = -0.96

abc: 5.0987 5.0987 5.0987
angles: 60.00 60.00 60.00
Sites, in units of the cell vectors:
1 Pr 0.0000 0.0000 0.0000
2 Y 0.5000 0.5000 0.5000
3 Zn 0.2500 0.2500 0.2500
4 Cu 0.7500 0.7500 0.7500

[2]
Material: YScNbTe2
Method: DFT, GGA-PBE
State: relaxed

Results
- E_form (uncorrected) (kJ/mol of formula units) = 338
- D(E_F) (states/eV/cell) = 5.7
- space-group type = P4/mmm, No. 123

abc: 5.6807 5.6807 5.0100
angles: 90.00 90.00 90.00
Sites, in units of the cell vectors:
1 Y 0.0000 0.0000 0.0000
2 Sc 0.5000 0.5000 0.5000
3 Nb 0.0000 0.0000 0.5000
4 Te 0.0000 0.5000 0.0000
5 Te 0.5000 0.0000 0.0000

[3]
Material: BiTeRh3
Method: DFT, GGA-PBE
State: relaxed

Results
- E_form (uncorrected) (kJ/mol of formula units) = 260
- D(E_F) (states/eV/cell) = 6.1
- energy relative to the lowest polymorph listed for this composition (meV/atom) = 693
- space-group type = Pm-3m, No. 221

abc: 4.8552 4.8552 4.8552
angles: 90.00 90.00 90.00
Sites, in units of the cell vectors:
1 Bi 0.0000 0.0000 0.0000
2 Te 0.5000 0.5000 0.5000
3 Rh 0.0000 0.5000 0.5000
4 Rh 0.5000 0.0000 0.5000
5 Rh 0.5000 0.5000 0.0000

[4]
Material: LiAcGe2Pt5
Method: DFT, GGA-PBE
State: relaxed

Results
- D(E_F) (states/eV/cell) = 3.6
- space-group type = P4/mmm, No. 123
- energy of formation (eV per formula unit) = -5.61

abc: 4.2686 4.2686 9.4755
angles: 90.00 90.00 90.00
Sites, in units of the cell vectors:
1 Li 0.0000 0.0000 0.0000
2 Ac 0.0000 0.0000 0.5000
3 Ge 0.5000 0.5000 0.1291
4 Ge 0.5000 0.5000 0.8709
5 Pt 0.0000 0.5000 0.2593
6 Pt 0.0000 0.5000 0.7407
7 Pt 0.5000 0.0000 0.2593
8 Pt 0.5000 0.0000 0.7407
9 Pt 0.5000 0.5000 0.5000

[5]
Material: PaMnGe2
Method: DFT, GGA-PBE
State: relaxed

Results
- D(E_F) (states/eV/cell) = 3.9
- space-group type = R-3m, No. 166
- energy of formation (eV per formula unit) = -1.29

abc: 5.3837 5.3837 5.3837
angles: 45.72 45.72 45.72
Sites, in units of the cell vectors:
1 Pa 0.0000 0.0000 0.0000
2 Mn 0.5000 0.5000 0.5000
3 Ge 0.2206 0.2206 0.2206
4 Ge 0.7794 0.7794 0.7794

[6]
Material: La2ErSi2
Method: DFT, GGA-PBE
State: relaxed

Results
- E_form (uncorrected) (kJ/mol of formula units) = -311
- D(E_F) (states/eV/cell) = 7.8
- energy relative to the lowest polymorph listed for this composition (meV/atom) = 47
- space-group type = C2/m, No. 12

abc: 6.6763 6.6763 10.9463
angles: 115.86 115.86 38.67
Sites, in units of the cell vectors:
1 La 0.0156 0.0156 0.1887
2 La 0.1795 0.1795 0.5924
3 La 0.8205 0.8205 0.4076
4 La 0.9844 0.9844 0.8113
5 Er 0.2740 0.2740 0.1300
6 Er 0.7260 0.7260 0.8700
7 Si 0.3897 0.3897 0.9472
8 Si 0.4947 0.4947 0.6073
9 Si 0.5053 0.5053 0.3927
10 Si 0.6103 0.6103 0.0528

[7]
Material: Nd3YAl
Method: DFT, GGA-PBE
State: relaxed

Results
- D(E_F) (states/eV/cell) = 12.5
- energy relative to the lowest polymorph listed for this composition (meV/atom) = 0
- space-group type = C2/m, No. 12
- energy of formation (eV per formula unit) = -0.62

abc: 6.9704 6.9704 12.5907
angles: 96.16 96.16 30.55
Sites, in units of the cell vectors:
1 Nd 0.0362 0.0362 0.1954
2 Nd 0.1424 0.1424 0.4468
3 Nd 0.3614 0.3614 0.0177
4 Nd 0.6386 0.6386 0.9823
5 Nd 0.8576 0.8576 0.5532
6 Nd 0.9638 0.9638 0.8046
7 Y 0.2163 0.2163 0.7454
8 Y 0.7837 0.7837 0.2546
9 Al 0.4498 0.4498 0.3807
10 Al 0.5502 0.5502 0.6193

[8]
Material: La3Zn3Co2
Method: DFT, GGA-PBE
State: relaxed

Results
- D(E_F) (states/eV/cell) = 14.2
- space-group type = Cmcm, No. 63
- energy of formation (eV per formula unit) = -1.80

abc: 5.7663 5.7663 16.3252
angles: 90.00 90.00 140.08
Sites, in units of the cell vectors:
1 La 0.0589 0.9411 0.6027
2 La 0.0589 0.9411 0.8973
3 La 0.3318 0.6682 0.7500
4 La 0.6682 0.3318 0.2500
5 La 0.9411 0.0589 0.1027
6 La 0.9411 0.0589 0.3973
7 Zn 0.3289 0.6711 0.5348
8 Zn 0.3289 0.6711 0.9652
9 Zn 0.3757 0.6243 0.2500
10 Zn 0.6243 0.3757 0.7500
11 Zn 0.6711 0.3289 0.0348
12 Zn 0.6711 0.3289 0.4652
13 Co 0.2452 0.7548 0.1190
14 Co 0.2452 0.7548 0.3810
15 Co 0.7548 0.2452 0.6190
16 Co 0.7548 0.2452 0.8810

[9]
Material: ScCd2Cu2
Method: DFT, GGA-PBE
State: relaxed

Results
- D(E_F) (states/eV/cell) = 6.6
- energy relative to the lowest polymorph listed for this composition (meV/atom) = 0
- space-group type = P4/mbm, No. 127
- energy of formation (eV per formula unit) = -0.12

abc: 7.6365 7.6365 3.0633
angles: 90.00 90.00 90.00
Sites, in units of the cell vectors:
1 Sc 0.0000 0.0000 0.0000
2 Sc 0.5000 0.5000 0.0000
3 Cd 0.1727 0.3273 0.5000
4 Cd 0.3273 0.8273 0.5000
5 Cd 0.6727 0.1727 0.5000
6 Cd 0.8273 0.6727 0.5000
7 Cu 0.1227 0.6227 0.0000
8 Cu 0.3773 0.1227 0.0000
9 Cu 0.6227 0.8773 0.0000
10 Cu 0.8773 0.3773 0.0000

[10]
Material: Cs2NaGaGe2
Method: DFT, GGA-PBE
State: relaxed

Results
- D(E_F) (states/eV/cell) = 6.4
- space-group type = Ibam, No. 72
- energy of formation (eV per formula unit) = -0.48

abc: 9.9117 9.9117 9.9117
angles: 136.80 60.20 140.18
Sites, in units of the cell vectors:
1 Cs 0.1681 0.2418 0.4098
2 Cs 0.3319 0.7418 0.0737
3 Cs 0.6681 0.2582 0.9263
4 Cs 0.8319 0.7582 0.5902
5 Na 0.2500 0.2500 0.0000
6 Na 0.7500 0.7500 0.0000
7 Ga 0.2500 0.7500 0.5000
8 Ga 0.7500 0.2500 0.5000
9 Ge 0.0802 0.6986 0.7788
10 Ge 0.4198 0.1986 0.6184
11 Ge 0.5802 0.8014 0.3816
12 Ge 0.9198 0.3014 0.2212

[11]
Material: RuRh2W
Method: DFT, GGA-PBE
State: relaxed

Results
- D(E_F) (states/eV/cell) = 2.2
- energy relative to the lowest polymorph listed for this composition (meV/atom) = 0
- space-group type = P4/mmm, No. 123
- energy of formation (eV per formula unit) = -0.73

abc: 3.8361 3.8361 3.9246
angles: 90.00 90.00 90.00
Sites, in units of the cell vectors:
1 Ru 0.0000 0.0000 0.0000
2 Rh 0.0000 0.5000 0.5000
3 Rh 0.5000 0.0000 0.5000
4 W 0.5000 0.5000 0.0000

[12]
Material: HgSbPW2
Method: DFT, GGA-PBE
State: relaxed

Results
- E_form (uncorrected) (kJ/mol of formula units) = 1190
- D(E_F) (states/eV/cell) = 3.9
- space-group type = P4/mmm, No. 123

abc: 5.1211 5.1211 5.2972
angles: 90.00 90.00 90.00
Sites, in units of the cell vectors:
1 Hg 0.0000 0.0000 0.0000
2 Sb 0.0000 0.0000 0.5000
3 P 0.5000 0.5000 0.0000
4 W 0.0000 0.5000 0.5000
5 W 0.5000 0.0000 0.5000

[13]
Material: TaTc2O
Method: DFT, GGA-PBE
State: relaxed

Results
- E_form (uncorrected) (kJ/mol of formula units) = -46
- D(E_F) (states/eV/cell) = 7.5
- space-group type = I-42d, No. 122

abc: 5.4037 5.4037 5.4037
angles: 100.70 100.70 128.94
Sites, in units of the cell vectors:
1 Ta 0.0000 0.0000 0.0000
2 Ta 0.7500 0.2500 0.5000
3 Tc 0.2221 0.1250 0.5971
4 Tc 0.3750 0.7779 0.9029
5 Tc 0.5279 0.6250 0.4029
6 Tc 0.8750 0.4721 0.0971
7 O 0.2500 0.7500 0.5000
8 O 0.5000 0.5000 0.0000

[14]
Material: Ba2TlHg4Sb2
Method: DFT, GGA-PBE
State: relaxed

Results
- E_form (uncorrected) (kJ/mol of formula units) = -346
- D(E_F) (states/eV/cell) = 5.0
- space-group type = I4/mmm, No. 139

abc: 7.6168 7.6168 7.6168
angles: 122.69 122.69 85.40
Sites, in units of the cell vectors:
1 Ba 0.2500 0.7500 0.5000
2 Ba 0.7500 0.2500 0.5000
3 Tl 0.0000 0.0000 0.0000
4 Hg 0.2905 0.2905 0.5809
5 Hg 0.2905 0.7095 0.0000
6 Hg 0.7095 0.2905 0.0000
7 Hg 0.7095 0.7095 0.4191
8 Sb 0.2747 0.2747 0.0000
9 Sb 0.7253 0.7253 0.0000

[15]
Material: TmBeCu
Method: DFT, GGA-PBE
State: relaxed

Results
- D(E_F) (states/eV/cell) = 2.4
- energy relative to the lowest polymorph listed for this composition (meV/atom) = 167
- space-group type = I4mm, No. 107
- energy of formation (eV per formula unit) = 0.04

abc: 5.4600 5.4600 5.4600
angles: 147.11 147.11 47.21
Sites, in units of the cell vectors:
1 Tm 0.0000 0.0000 0.0000
2 Be 0.7014 0.7014 0.0000
3 Cu 0.2959 0.2959 0.0000

[16]
Material: Ta2MoPb
Method: DFT, GGA-PBE
State: relaxed

Results
- D(E_F) (states/eV/cell) = 3.4
- space-group type = P4mm, No. 99
- energy of formation (eV per formula unit) = 2.29

abc: 2.9016 2.9016 9.3137
angles: 90.00 90.00 90.00
Sites, in units of the cell vectors:
1 Ta 0.0000 0.0000 0.0000
2 Ta 0.5000 0.5000 0.2409
3 Mo 0.0000 0.0000 0.4755
4 Pb 0.5000 0.5000 0.7321

[17]
Material: RuPbSeBr2
Method: DFT, GGA-PBE
State: relaxed

Results
- E_form (uncorrected) (kJ/mol of formula units) = 2
- D(E_F) (states/eV/cell) = 3.9
- energy relative to the lowest polymorph listed for this composition (meV/atom) = 0
- space-group type = P4/mmm, No. 123

abc: 5.1360 5.1360 4.8748
angles: 90.00 90.00 90.00
Sites, in units of the cell vectors:
1 Ru 0.0000 0.0000 0.0000
2 Pb 0.5000 0.5000 0.5000
3 Se 0.0000 0.0000 0.5000
4 Br 0.0000 0.5000 0.0000
5 Br 0.5000 0.0000 0.0000

[18]
Material: LaTa2H8
Method: DFT, GGA-PBE
State: relaxed

Results
- D(E_F) (states/eV/cell) = 3.2
- space-group type = Cm, No. 8
- final energy (eV/atom) = -5.285

abc: 4.9493 4.9493 4.9494
angles: 90.67 90.67 119.47
Sites, in units of the cell vectors:
1 La 0.0000 0.0000 0.0000
2 Ta 0.3658 0.6979 0.5236
3 Ta 0.6979 0.3658 0.5236
4 H 0.0266 0.4470 0.2786
5 H 0.0319 0.7686 0.6024
6 H 0.3139 0.3139 0.6480
7 H 0.3872 0.7347 0.8964
8 H 0.4470 0.0266 0.2786
9 H 0.5886 0.5886 0.2723
10 H 0.7347 0.3872 0.8964
11 H 0.7686 0.0319 0.6024

[19]
Material: Ba4SrZn5
Method: DFT, GGA-PBE
State: relaxed

Results
- D(E_F) (states/eV/cell) = 8.5
- space-group type = P4/mmm, No. 123
- energy of formation (eV per formula unit) = -1.62

abc: 4.0662 4.0662 20.3866
angles: 90.00 90.00 90.00
Sites, in units of the cell vectors:
1 Ba 0.0000 0.0000 0.1017
2 Ba 0.0000 0.0000 0.3058
3 Ba 0.0000 0.0000 0.6942
4 Ba 0.0000 0.0000 0.8983
5 Sr 0.0000 0.0000 0.5000
6 Zn 0.5000 0.5000 0.0000
7 Zn 0.5000 0.5000 0.2037
8 Zn 0.5000 0.5000 0.4085
9 Zn 0.5000 0.5000 0.5915
10 Zn 0.5000 0.5000 0.7963

[20]
Material: DyY2Pd2
Method: DFT, GGA-PBE
State: relaxed

Results
- D(E_F) (states/eV/cell) = 8.6
- space-group type = P4/mbm, No. 127
- energy of formation (eV per formula unit) = -3.62

abc: 7.7712 7.7712 4.0169
angles: 90.00 90.00 90.00
Sites, in units of the cell vectors:
1 Dy 0.0000 0.0000 0.0000
2 Dy 0.5000 0.5000 0.0000
3 Y 0.1646 0.3354 0.5000
4 Y 0.3354 0.8354 0.5000
5 Y 0.6646 0.1646 0.5000
6 Y 0.8354 0.6646 0.5000
7 Pd 0.1332 0.6332 0.0000
8 Pd 0.3668 0.1332 0.0000
9 Pd 0.6332 0.8668 0.0000
10 Pd 0.8668 0.3668 0.0000